(1)
{"formula": "LiNd2Gd", "functional": "PBE", "state": "optimized geometry", "formation_energy_ev_per_fu": 0.7, "crystal_system": "cubic", "e_above_lowest_polymorph_ev_per_fu": 0.40, "m_tot_mub_per_fu": 7.36, "dft_energy_ev_per_cell": -24.870, "space_group": "Fm-3m, No. 225", "lattice_angstrom": [[-1.148, -4.909, -2.445], [2.854, -1.599, -4.549], [3.668, -4.222, 0.335]], "species": ["Li", "Nd", "Nd", "Gd"], "frac_coords": [[0.000, 0.000, 0.000], [0.250, 0.250, 0.250], [0.750, 0.750, 0.750], [0.500, 0.500, 0.500]]}

---

(2)
{"formula": "LiNdGdOs", "functional": "PBE", "state": "optimized geometry", "formation_energy_ev_per_fu": -0.5, "crystal_system": "cubic", "m_tot_mub_per_fu": 7.15, "dft_energy_ev_per_cell": -32.493, "space_group": "F-43m, No. 216", "lattice_angstrom": [[5.000, 0.000, 0.000], [2.500, 4.331, 0.000], [2.500, 1.444, 4.083]], "species": ["Nd", "Li", "Os", "Gd"], "frac_coords": [[0.250, 0.250, 0.250], [0.000, 0.000, 0.000], [0.500, 0.500, 0.500], [0.750, 0.750, 0.750]]}

---

(3)
{"formula": "LiNdGdPb", "functional": "PBE", "state": "optimized geometry", "formation_energy_ev_per_fu": -1.2, "crystal_system": "cubic", "m_tot_mub_per_fu": 7.83, "dft_energy_ev_per_cell": -25.696, "space_group": "F-43m, No. 216", "lattice_angstrom": [[-0.332, -2.794, 4.619], [4.042, 0.216, 3.587], [-0.684, 2.602, 4.692]], "species": ["Nd", "Li", "Pb", "Gd"], "frac_coords": [[0.000, 0.000, 0.000], [0.750, 0.750, 0.750], [0.250, 0.250, 0.250], [0.500, 0.500, 0.500]]}

---

(4)
{"formula": "LiNdGdPd", "functional": "PBE", "state": "optimized geometry", "formation_energy_ev_per_fu": -1.4, "crystal_system": "cubic", "m_tot_mub_per_fu": 7.18, "dft_energy_ev_per_cell": -27.347, "space_group": "F-43m, No. 216", "lattice_angstrom": [[5.133, 0.000, 0.000], [2.566, 4.445, 0.000], [2.566, 1.482, 4.191]], "species": ["Gd", "Li", "Pd", "Nd"], "frac_coords": [[0.750, 0.750, 0.750], [0.000, 0.000, 0.000], [0.500, 0.500, 0.500], [0.250, 0.250, 0.250]]}

---

(5)
{"formula": "LiPmNdGd", "functional": "PBE", "state": "optimized geometry", "formation_energy_ev_per_fu": 0.7, "crystal_system": "cubic", "m_tot_mub_per_fu": 7.33, "dft_energy_ev_per_cell": -24.839, "space_group": "F-43m, No. 216", "lattice_angstrom": [[5.592, 0.000, 0.000], [2.796, 4.843, 0.000], [2.796, 1.614, 4.566]], "species": ["Nd", "Pm", "Gd", "Li"], "frac_coords": [[0.250, 0.250, 0.250], [0.750, 0.750, 0.750], [0.500, 0.500, 0.500], [0.000, 0.000, 0.000]]}

---

(6)
{"formula": "LiPrNdGd", "functional": "PBE", "state": "optimized geometry", "formation_energy_ev_per_fu": 0.6, "crystal_system": "cubic", "m_tot_mub_per_fu": 7.40, "dft_energy_ev_per_cell": -24.896, "space_group": "F-43m, No. 216", "lattice_angstrom": [[-3.114, 3.953, -2.499], [-4.654, -1.442, -2.798], [-5.050, 1.327, 2.075]], "species": ["Pr", "Nd", "Li", "Gd"], "frac_coords": [[0.750, 0.750, 0.750], [0.250, 0.250, 0.250], [0.000, 0.000, 0.000], [0.500, 0.500, 0.500]]}

---

(7)
{"formula": "LiNdGdPt", "functional": "PBE", "state": "optimized geometry", "formation_energy_ev_per_fu": -2.3, "crystal_system": "cubic", "m_tot_mub_per_fu": 7.14, "dft_energy_ev_per_cell": -29.088, "space_group": "F-43m, No. 216", "lattice_angstrom": [[-4.455, 0.677, -2.377], [-1.620, -3.430, -3.400], [-3.960, -3.008, 1.105]], "species": ["Nd", "Pt", "Li", "Gd"], "frac_coords": [[0.500, 0.500, 0.500], [0.750, 0.750, 0.750], [0.250, 0.250, 0.250], [0.000, 0.000, 0.000]]}

---

(8)
{"formula": "LiNdGdRu", "functional": "PBE", "state": "optimized geometry", "formation_energy_ev_per_fu": -0.7, "crystal_system": "cubic", "m_tot_mub_per_fu": 7.15, "dft_energy_ev_per_cell": -30.775, "space_group": "F-43m, No. 216", "lattice_angstrom": [[-2.408, 1.733, -4.042], [1.608, -1.219, -4.590], [-2.689, -3.129, -2.849]], "species": ["Nd", "Ru", "Li", "Gd"], "frac_coords": [[0.000, 0.000, 0.000], [0.750, 0.750, 0.750], [0.250, 0.250, 0.250], [0.500, 0.500, 0.500]]}